(1)
First-principles (PBE) data for crystalline NpZnHgAu at its relaxed geometry, as listed in the Alexandria database.

Summary:
- Energy relative to the elements: 0.92 kcal/mol of atoms

Cell: 4.9721 4.9721 4.9721 Å, 60.00 60.00 60.00°
Last column: magnetic moment on the atom in μB.
Sites, in units of the cell vectors:
Np  0.5000  0.5000  0.5000  3.84
Zn  0.0000  0.0000  0.0000  -0.01
Au  0.7500  0.7500  0.7500  0.00
Hg  0.2500  0.2500  0.2500  0.02

***

(2)
First-principles (PBE) data for crystalline Th8IrRh5 at its relaxed geometry, as listed in the Alexandria database.

Summary:
- Energy relative to the elements: -18.07 kcal/mol of atoms

Cell: 7.7108 7.7108 7.7108 Å, 109.34 109.73 109.34°
Sites, in units of the cell vectors:
Th  0.1237  0.7500  0.9827
Th  0.0173  0.1410  0.7672
Th  0.7363  0.2527  0.3786
Th  0.6214  0.3576  0.8740
Th  0.5164  0.6424  0.2637
Th  0.6262  0.8590  0.8763
Th  0.2328  0.2500  0.3738
Th  0.1260  0.7473  0.4836
Ir  0.2500  0.5000  0.7500
Rh  0.0010  0.3778  0.1241
Rh  0.8759  0.8769  0.2537
Rh  0.7463  0.6222  0.6232
Rh  0.5000  0.0000  0.5000
Rh  0.3768  0.1231  0.9990

***

(3)
First-principles (PBE) data for crystalline TaGaH at its relaxed geometry, as listed in the Alexandria database.

Summary:
- Polymorph energy (0 for the lowest one): 0.2191 eV per atom

Cell: 2.9267 4.9024 5.5555 Å, 90.00 90.00 107.37°
Sites, in units of the cell vectors:
H  0.5526  0.1052  0.7500
H  0.4474  0.8948  0.2500
Ga  0.7266  0.4532  0.2500
Ga  0.2734  0.5468  0.7500
Ta  0.0000  0.0000  0.5000
Ta  0.0000  0.0000  0.0000

***

(4)
First-principles (PBE) data for crystalline TbZr4Ga4 at its relaxed geometry, as listed in the Alexandria database.

Summary:
- Energy relative to the elements: -5.49 kcal/mol of atoms

Cell: 5.4695 8.8712 8.8712 Å, 90.00 90.00 90.00°
Sites, in units of the cell vectors:
Tb  0.0000  0.0000  0.0000
Tb  0.5000  0.5000  0.5000
Zr  0.3817  0.3512  0.8981
Zr  0.8817  0.6019  0.8512
Zr  0.3817  0.6488  0.1019
Zr  0.1183  0.1488  0.6019
Zr  0.6183  0.8981  0.6488
Zr  0.1183  0.8512  0.3981
Zr  0.8817  0.3981  0.1488
Zr  0.6183  0.1019  0.3512
Ga  0.6064  0.7898  0.3513
Ga  0.6064  0.2102  0.6487
Ga  0.1064  0.8513  0.7102
Ga  0.8936  0.2898  0.8513
Ga  0.8936  0.7102  0.1487
Ga  0.3936  0.3513  0.2102
Ga  0.3936  0.6487  0.7898
Ga  0.1064  0.1487  0.2898

***

(5)
First-principles (PBE) data for crystalline Pa2AsAu at its relaxed geometry, as listed in the Alexandria database.

Summary:
- Energy relative to the elements: -11.20 kcal/mol of atoms
- Polymorph energy (0 for the lowest one): 0.0326 eV per atom

Cell: 3.9098 3.9098 7.8778 Å, 75.63 75.63 60.00°
Sites, in units of the cell vectors:
As  0.0000  0.0000  0.0000
Pa  0.7448  0.7448  0.7656
Pa  0.2552  0.2552  0.2344
Au  0.5000  0.5000  0.5000

***

(6)
First-principles (PBE) data for crystalline SrDy2OsO8 at its relaxed geometry, as listed in the Alexandria database.

Summary:
- Formation energy from raw total energies: -2.2982 eV per atom

Cell: 5.0992 5.0936 7.0040 Å, 90.00 90.00 88.64°
Sites, in units of the cell vectors:
Sr  0.0000  0.0000  0.5000
Dy  0.5000  0.5000  0.7413
Dy  0.5000  0.5000  0.2587
Os  0.0000  0.0000  0.0000
O  0.1848  0.8141  0.1897
O  0.7398  0.7408  0.0000
O  0.8152  0.1859  0.1897
O  0.8152  0.1859  0.8103
O  0.2602  0.2592  0.0000
O  0.1848  0.8141  0.8103
O  0.6777  0.6794  0.5000
O  0.3223  0.3206  0.5000

***

no.,E (Ry/atom),size of the total moment (μB/cell)
1,-0.324,4.0
2,-0.609,0.0
3,-0.443,0.0
4,-0.433,0.0
5,-0.530,0.0
6,-0.547,0.0